(1)
DFT (PBE) results for a relaxed SmGeIrN crystal.

Values from the calculation:
* DOS(E_F): 3.2 states/eV per cell
* crystal system: tetragonal
* raw formation energy: -3.21 eV/f.u.
* size of the total moment: 0.00 μB per formula unit
* VASP energy: -0.54627 Ry/atom

Cell lengths 4.031, 4.031, 8.408 Å; angles 90.00, 90.00, 90.00 degrees
Space group P4/nmm (No. 129, origin choice 2)
Asymmetric unit:
Sm  0.250  0.250  0.155 (multiplicity 2)
Ge  0.250  0.250  0.662 (multiplicity 2)
Ir  0.250  0.750  0.500 (multiplicity 2)
N  0.250  0.250  0.885 (multiplicity 2)

---

(2)
DFT (PBE) results for a relaxed NaMn2TlI8 crystal.

Values from the calculation:
* DOS(E_F): 9.6 states/eV per cell
* crystal system: trigonal
* raw formation energy: -5.54 eV/f.u.
* size of the total moment: 8.00 μB per formula unit
* VASP energy: -0.24479 Ry/atom

Cell lengths 7.4171, 7.4171, 10.6450 Å; angles 90.00, 90.00, 120.00 degrees
Space group P-3 (No. 147)
Asymmetric unit:
Na  0.0000  0.0000  0.0000 (multiplicity 1)
Mn  0.3333  0.6667  0.2597 (multiplicity 2)
Tl  0.0000  0.0000  0.5000 (multiplicity 1)
I  0.0049  0.6717  0.8037 (multiplicity 6)
I  0.3333  0.6667  0.5020 (multiplicity 2)

---

(3)
DFT (PBE) results for a relaxed KAlIn2 crystal.

Values from the calculation:
* DOS(E_F): 1.6 states/eV per cell
* crystal system: monoclinic
* size of the total moment: 0.00 μB per formula unit
* VASP energy: -0.17746 Ry/atom
* calculated formation energy: 64 kJ/mol of formula units

Cell lengths 7.486, 7.526, 5.367 Å; angles 90.00, 133.56, 90.00 degrees
Space group C2 (No. 5)
Asymmetric unit:
K  0.000  0.000  0.000 (multiplicity 2)
Al  0.000  0.749  0.500 (multiplicity 2)
In  0.000  0.251  0.500 (multiplicity 2)
In  0.000  0.501  0.000 (multiplicity 2)